# PmNd3Pd2

A relaxed PmNd3Pd2 crystal (GGA-PBE, Alexandria via LeMat-Bulk).

Values from the calculation:
Magnetization   0.9 μB per cell
Calculated total energy   -64.7 eV for the cell shown
Offset from the most stable computed form   0 meV per atom
Energy relative to the elements   -47.2 kJ/mol of atoms

```
12
Lattice="-3.227 -3.796 -4.949 7.394 0.078 0.102 -2.178 -5.354 5.527" Properties=species:S:1:pos:R:3 pbc="T T T"
Pm -1.362 -2.300 0.129
Pm -4.043 -6.850 0.450
Nd -2.433 -4.956 2.919
Nd -2.972 -4.194 -2.340
Nd -0.253 -7.721 1.104
Nd 1.151 -4.029 2.339
Nd 0.838 -5.043 -1.658
Nd 2.241 -1.351 -0.423
Pd 3.447 -3.743 0.629
Pd 2.354 -6.424 3.387
Pd -0.366 -2.648 -2.707
Pd -1.459 -5.329 0.051
```

# Hf2MnIr2

A relaxed Hf2MnIr2 crystal (GGA-PBE, Alexandria via LeMat-Bulk).

Values from the calculation:
Magnetization   0.0 μB per cell
Calculated total energy   -46.2 eV for the cell shown
Offset from the most stable computed form   659 meV per atom
Energy relative to the elements   12.0 kJ/mol of atoms

```
5
Lattice="3.557 0.000 0.000 0.000 3.557 0.000 1.778 1.778 7.336" Properties=species:S:1:pos:R:3 pbc="T T T"
Ir 3.557 1.778 3.668
Ir 1.778 3.557 3.668
Hf 1.778 1.778 1.492
Hf 3.557 3.557 5.843
Mn 0.000 0.000 0.000
```

# MgBiIr3

A relaxed MgBiIr3 crystal (GGA-PBE, Alexandria via LeMat-Bulk).

Values from the calculation:
Magnetization   0.0 μB per cell
Calculated total energy   -23.7 eV for the cell shown
Energy relative to the elements   160.3 kJ/mol of atoms

```
5
Lattice="-0.119 -4.217 2.636 -1.542 -2.475 -4.030 4.728 -0.914 -1.248" Properties=species:S:1:pos:R:3 pbc="T T T"
Mg 1.533 -3.803 -1.321
Ir -0.771 -1.238 -2.015
Ir 2.364 -0.457 -0.624
Ir -0.060 -2.108 1.318
Bi 0.000 0.000 0.000
```

# CaFe2Ir

A relaxed CaFe2Ir crystal (GGA-PBE, Alexandria via LeMat-Bulk).

Values from the calculation:
Magnetization   5.6 μB per cell
Calculated total energy   -27.1 eV for the cell shown
Energy relative to the elements   17.2 kJ/mol of atoms

```
4
Lattice="3.067 0.000 0.000 0.000 3.067 0.000 0.000 0.000 6.989" Properties=species:S:1:pos:R:3 pbc="T T T"
Ca 1.534 1.534 5.208
Ir 0.000 0.000 3.117
Fe 0.000 0.000 0.483
Fe 1.534 1.534 1.676
```

# KAs2Se

A relaxed KAs2Se crystal (GGA-PBE, Alexandria via LeMat-Bulk).

Values from the calculation:
Magnetization   0.0 μB per cell
Calculated total energy   -13.4 eV for the cell shown
Raw formation energy   119 meV per atom

```
4
Lattice="6.098 0.005 0.000 3.198 5.192 0.000 -4.648 -2.599 2.971" Properties=species:S:1:pos:R:3 pbc="T T T"
As 0.000 0.000 0.000
As 4.648 2.599 0.000
K 1.599 2.596 1.486
Se 3.049 0.003 1.486
```

# ReTcBr4

A relaxed ReTcBr4 crystal (GGA-PBE, Alexandria via LeMat-Bulk).

Values from the calculation:
Magnetization   8.8 μB per cell
Calculated total energy   -17.4 eV for the cell shown
Raw formation energy   2023 meV per atom

```
6
Lattice="-3.399 -3.761 3.665 -0.809 1.415 6.040 -5.607 1.865 2.052" Properties=species:S:1:pos:R:3 pbc="T T T"
Re -7.361 -0.360 8.818
Tc 0.000 0.000 0.000
Br -5.381 -2.062 6.242
Br -6.486 0.753 5.434
Br -4.084 0.528 7.430
Br -3.679 -0.180 4.407
```

calculated total energy of number 6 (ReTcBr4)?
-17.4 eV for the cell shown

What is the formula in the third record?
MgBiIr3